A relaxed structure of Ta2CrRh. Source: Alexandria via LeMat-Bulk, functional PBE.

Properties
DOS(E_F)   4.3 states/eV/f.u.
Total moment   0.00 μB per formula unit
ΔE_f   -14 meV/atom

CIF file:
```
data_Ta2CrRh
_space_group_name_H-M_alt 'C m m 2'
_space_group_IT_number 35
_cell_length_a 3.578
_cell_length_b 4.230
_cell_length_c 8.293
_cell_angle_alpha 90.00
_cell_angle_beta 90.00
_cell_angle_gamma 90.00
loop_
_space_group_symop_operation_xyz
'x,y,z'
'-x,-y,z'
'-x,y,z'
'x,-y,z'
'x+1/2,y+1/2,z'
'-x+1/2,-y+1/2,z'
'-x+1/2,y+1/2,z'
'x+1/2,-y+1/2,z'
loop_
_atom_site_label
_atom_site_fract_x
_atom_site_fract_y
_atom_site_fract_z
_atom_site_occupancy
Ta1 0.000 0.000 0.000 1
Ta2 0.000 0.500 0.285 1
Cr1 0.000 0.500 0.747 1
Rh1 0.000 0.000 0.541 1
```

A relaxed structure of Y2Cu3SiNi12. Source: Alexandria via LeMat-Bulk, functional PBE.

Properties
DOS(E_F)   19.7 states/eV/f.u.
Total moment   0.00 μB per formula unit
E_tot   -5.442 eV per atom

CIF file:
```
data_Y2Cu3SiNi12
_space_group_name_H-M_alt 'R -3 m'
_space_group_IT_number 166
_space_group_name_Hall '-R 3 2"'
_cell_length_a 5.9377
_cell_length_b 5.9377
_cell_length_c 25.2354
_cell_angle_alpha 90.00
_cell_angle_beta 90.00
_cell_angle_gamma 120.00
loop_
_atom_site_label
_atom_site_fract_x
_atom_site_fract_y
_atom_site_fract_z
_atom_site_occupancy
Y1 0.0000 0.0000 0.1510 1
Cu1 0.0000 0.5000 0.0000 1
Si1 0.0000 0.0000 0.5000 1
Ni1 0.0487 0.5243 0.0989 1
Ni2 0.0732 0.5366 0.6150 1
```

A relaxed structure of KRuN2F. Source: Alexandria via LeMat-Bulk, functional PBE.

Properties
DOS(E_F)   4.7 states/eV/f.u.
Total moment   8.00 μB per formula unit
E_tot   -3.588 eV per atom

CIF file:
```
data_KRuN2F
_space_group_name_H-M_alt 'P 4/m m m'
_space_group_IT_number 123
_space_group_name_Hall '-P 4 2'
_cell_length_a 4.909
_cell_length_b 4.909
_cell_length_c 4.578
_cell_angle_alpha 90.00
_cell_angle_beta 90.00
_cell_angle_gamma 90.00
loop_
_atom_site_label
_atom_site_fract_x
_atom_site_fract_y
_atom_site_fract_z
_atom_site_occupancy
K1 0.000 0.000 0.000 1
Ru1 0.500 0.500 0.500 1
N1 0.000 0.500 0.000 1
F1 0.000 0.000 0.500 1
```

A relaxed structure of K2ZrCl. Source: Alexandria via LeMat-Bulk, functional PBE.

Properties
DOS(E_F)   3.2 states/eV/f.u.
Total moment   0.00 μB per formula unit
E_tot   -3.365 eV per atom

CIF file:
```
data_K2ZrCl
_space_group_name_H-M_alt 'R 3 m'
_space_group_IT_number 160
_space_group_name_Hall 'R 3 -2"'
_cell_length_a 3.6076
_cell_length_b 3.6076
_cell_length_c 34.5331
_cell_angle_alpha 90.00
_cell_angle_beta 90.00
_cell_angle_gamma 120.00
loop_
_atom_site_label
_atom_site_fract_x
_atom_site_fract_y
_atom_site_fract_z
_atom_site_occupancy
K1 0.0000 0.0000 0.0000 1
K2 0.0000 0.0000 0.2157 1
Zr1 0.0000 0.0000 0.7606 1
Cl1 0.0000 0.0000 0.4782 1
```

> Number 1 is which compound?

Ta2CrRh

> The highest total moment belongs to which entry?

KRuN2F

> Among the records above, which one has the highest total moment?

KRuN2F